## LiGa4Ag4 (PBE-GGA)

Data for a geometry-optimized LiGa4Ag4 structure.

The structure in POSCAR format:
```
LiGa4Ag4
1.0
-2.217 -2.906 1.333
3.906 -5.256 0.716
0.156 0.293 6.579
Li Ga Ag
1 4 4
direct
0.000 0.000 0.000
0.668 0.332 0.332
0.332 0.668 0.668
0.000 0.668 0.332
0.000 0.332 0.668
0.663 0.674 0.000
0.337 0.326 0.000
0.663 0.000 0.674
0.337 0.000 0.326
```

- final energy (eV per atom) = -2.908
- calculated formation energy (eV/atom) = -0.08